Record 1
DFT (PBE) results for a relaxed Ca2CdPb crystal.

Output
Mass density, Mg/m³: 5.7
Excess energy over the best structure of this formula in the dataset, meV per atom: 0.0
Size of the total moment, Bohr magnetons per cell: 0.0
Energy relative to the elements, meV per atom: -504.2
D(E_F), states/eV/atom: 0.00

Lattice parameters (Å, degrees): 7.7614 7.7614 7.7614 90.00 90.00 90.00
Last column: nearest neighbours and their distance in Å.
Space group Fm-3m (No. 225)
Symmetry-distinct sites (fractional):
Ca1 0.2500 0.2500 0.2500 [8 per cell]  4 Cd 3.36, 4 Pb 3.36
Cd1 0.0000 0.0000 0.0000 [4 per cell]  8 Ca 3.36
Pb1 0.0000 0.0000 0.5000 [4 per cell]  8 Ca 3.36



Record 2
DFT (PBE) results for a relaxed CaCd6Pb crystal.

Output
Mass density, Mg/m³: 7.6
Excess energy over the best structure of this formula in the dataset, meV per atom: 0.0
Size of the total moment, Bohr magnetons per cell: 0.0
Energy relative to the elements, meV per atom: -113.8
D(E_F), states/eV/atom: 0.53

Lattice parameters (Å, degrees): 4.9595 7.6736 10.5800 90.00 90.00 90.00
Last column: nearest neighbours and their distance in Å.
Space group Amm2 (No. 38)
Symmetry-distinct sites (fractional):
Ca1 0.0000 0.0000 0.0000 [2 per cell]  10 Cd 3.22-3.36, 2 Pb 3.55
Cd1 0.0000 0.0000 0.4434 [2 per cell]  8 Cd 3.06-3.33, 2 Pb 3.28
Cd2 0.0000 0.1989 0.7169 [4 per cell]  7 Cd 3.05-3.33, 2 Ca 3.26-3.36, 2 Pb 3.40
Cd3 0.5000 0.0000 0.8056 [2 per cell]  8 Cd 3.06-3.42, 2 Ca 3.22
Cd4 0.5000 0.2081 0.5199 [4 per cell]  7 Cd 3.06-3.42, 2 Pb 3.24-3.36, 2 Ca 3.35
Pb1 0.5000 0.0000 0.2407 [2 per cell]  10 Cd 3.24-3.40, 2 Ca 3.55



Record 3
DFT (PBE) results for a relaxed CaCdPb2 crystal.

Output
Mass density, Mg/m³: 8.2
Size of the total moment, Bohr magnetons per cell: 0.0
Energy relative to the elements, meV per atom: -272.1
D(E_F), states/eV/atom: 0.42

Lattice parameters (Å, degrees): 4.7260 4.7260 10.2234 90.00 90.00 90.00
Last column: nearest neighbours and their distance in Å.
Space group I-4m2 (No. 119)
Symmetry-distinct sites (fractional):
Ca1 0.0000 0.0000 0.0000 [2 per cell]  8 Pb 3.34-3.48, 4 Cd 3.48
Cd1 0.0000 0.5000 0.2500 [2 per cell]  8 Pb 3.34-3.48, 4 Ca 3.48
Pb1 0.0000 0.0000 0.5000 [2 per cell]  4 Ca 3.34, 4 Cd 3.48, 4 Pb 3.48
Pb2 0.0000 0.5000 0.7500 [2 per cell]  4 Cd 3.34, 4 Pb 3.48, 4 Ca 3.48



Record 4
DFT (PBE) results for a relaxed CaCd4Pb crystal.

Output
Mass density, Mg/m³: 7.4
Excess energy over the best structure of this formula in the dataset, meV per atom: 22.8
Size of the total moment, Bohr magnetons per cell: 0.0
Energy relative to the elements, meV per atom: -168.8
D(E_F), states/eV/atom: 0.58

Lattice parameters (Å, degrees): 8.5334 8.5334 8.5334 90.00 90.00 90.00
Last column: nearest neighbours and their distance in Å.
Space group F-43m (No. 216)
Symmetry-distinct sites (fractional):
Ca1 0.0000 0.0000 0.0000 [4 per cell]  12 Cd 3.54, 4 Pb 3.70
Cd1 0.1253 0.1253 0.3747 [16 per cell]  6 Cd 3.01-3.02
Pb1 0.2500 0.2500 0.7500 [4 per cell]  12 Cd 3.54, 4 Ca 3.70



Record 5
DFT (PBE) results for a relaxed Ca4CdPb2 crystal.

Output
Mass density, Mg/m³: 5.0
Excess energy over the best structure of this formula in the dataset, meV per atom: 0.0
Size of the total moment, Bohr magnetons per cell: 0.0
Energy relative to the elements, meV per atom: -499.1
D(E_F), states/eV/atom: 0.15

Lattice parameters (Å, degrees): 5.4563 5.4563 26.6134 90.00 90.00 120.00
Last column: nearest neighbours and their distance in Å.
Space group R-3m (No. 166, hexagonal axes)
Symmetry-distinct sites (fractional):
Ca1 0.0000 0.0000 0.1245 [6 per cell]  3 Cd 3.34, 4 Pb 3.35-3.39
Ca2 0.0000 0.0000 0.3751 [6 per cell]  4 Pb 3.28-3.32, 1 Cd 3.32
Cd1 0.0000 0.0000 0.5000 [3 per cell]  8 Ca 3.32-3.34
Pb1 0.0000 0.0000 0.2517 [6 per cell]  8 Ca 3.28-3.39



Record 6
DFT (PBE) results for a relaxed Ca4CdPb3 crystal.

Output
Mass density, Mg/m³: 6.2
Size of the total moment, Bohr magnetons per cell: 0.0
Energy relative to the elements, meV per atom: -490.0
D(E_F), states/eV/atom: 0.60

Lattice parameters (Å, degrees): 5.5187 5.5187 27.1375 90.00 90.00 120.00
Last column: nearest neighbours and their distance in Å.
Space group R-3m (No. 166, hexagonal axes)
Symmetry-distinct sites (fractional):
Ca1 0.0000 0.0000 0.1251 [6 per cell]  7 Pb 3.38-3.47, 1 Cd 3.40
Ca2 0.0000 0.0000 0.3751 [6 per cell]  5 Pb 3.31-3.39, 3 Cd 3.38
Cd1 0.0000 0.0000 0.0000 [3 per cell]  8 Ca 3.38-3.40
Pb1 0.0000 0.0000 0.2530 [6 per cell]  8 Ca 3.31-3.47
Pb2 0.0000 0.0000 0.5000 [3 per cell]  8 Ca 3.38-3.39



Record 7
DFT (PBE) results for a relaxed Ca2CdPb crystal.

Output
Mass density, Mg/m³: 4.9
Excess energy over the best structure of this formula in the dataset, meV per atom: 399.5
Size of the total moment, Bohr magnetons per cell: 0.0
Energy relative to the elements, meV per atom: -104.7
D(E_F), states/eV/atom: 0.64

Lattice parameters (Å, degrees): 3.8283 3.8283 31.9370 90.00 90.00 120.00
Last column: nearest neighbours and their distance in Å.
Space group R3m (No. 160, hexagonal axes)
Symmetry-distinct sites (fractional):
Ca1 0.0000 0.0000 0.0000 [3 per cell]  3 Cd 3.28
Ca2 0.0000 0.0000 0.2298 [3 per cell]  3 Pb 3.41
Cd1 0.0000 0.0000 0.7427 [3 per cell]  3 Pb 3.19, 3 Ca 3.28
Pb1 0.0000 0.0000 0.4816 [3 per cell]  3 Cd 3.19, 3 Ca 3.41



Record 8
DFT (PBE) results for a relaxed CaCd3Pb3 crystal.

Output
Mass density, Mg/m³: 8.1
Excess energy over the best structure of this formula in the dataset, meV per atom: 0.0
Size of the total moment, Bohr magnetons per cell: 0.0
Energy relative to the elements, meV per atom: -63.0
D(E_F), states/eV/atom: 0.49

Lattice parameters (Å, degrees): 9.7083 10.5056 8.0652 90.00 90.00 90.00
Last column: nearest neighbours and their distance in Å.
Space group Cmmm (No. 65)
Symmetry-distinct sites (fractional):
Ca1 0.2188 0.0000 0.0000 [4 per cell]  6 Pb 3.37-3.58, 4 Cd 3.43-3.74
Cd1 0.0000 0.2138 0.5000 [4 per cell]  2 Cd 2.98, 4 Pb 3.13
Cd2 0.0000 0.2569 0.0000 [4 per cell]  6 Pb 3.21-3.45, 2 Ca 3.43
Cd3 0.2017 0.0000 0.5000 [4 per cell]  2 Cd 2.98, 4 Pb 3.30
Pb1 0.0000 0.5000 0.2878 [4 per cell]  6 Cd 3.36-3.46, 5 Pb 3.42-3.58, 2 Ca 3.58
Pb2 0.2500 0.2500 0.2596 [8 per cell]  6 Cd 3.13-3.30, 2 Ca 3.37